Material: Cs4Ga2Se5
Method: DFT, meta-GGA SCAN
State: PBEsol geometry

Lattice parameters (Å, degrees): 8.4680 8.8933 11.1126 75.47 88.34 79.69
Last column: nearest neighbours and their distance in Å.
Positions (direct):
Cs1 0.4533 0.3110 0.1037  5 Se 3.51-3.60, 1 Cs 3.77
Cs2 0.5467 0.6890 0.8963  5 Se 3.51-3.60, 1 Cs 3.77
Cs3 0.1662 0.0900 0.8737  6 Se 3.48-3.86, 1 Ga 3.85
Cs4 0.0484 0.6111 0.7503  6 Se 3.46-3.85
Cs5 0.8338 0.9100 0.1263  6 Se 3.48-3.86, 1 Ga 3.85
Cs6 0.9516 0.3889 0.2497  6 Se 3.46-3.85
Cs7 0.5406 0.7189 0.5055  6 Se 3.44-3.84
Cs8 0.4594 0.2811 0.4945  6 Se 3.44-3.84
Se1 0.8553 0.3670 0.5940  2 Ga 2.39-2.49
Se2 0.1885 0.9796 0.5841  2 Ga 2.44-2.45
Se3 0.4310 0.3884 0.7725  1 Ga 2.37
Se4 0.1672 0.6743 0.0378  1 Ga 2.37
Se5 0.8328 0.3257 0.9622  1 Ga 2.37
Se6 0.5690 0.6116 0.2275  1 Ga 2.37
Se7 0.1447 0.6330 0.4060  2 Ga 2.39-2.49
Se8 0.2341 0.0060 0.2171  2 Ga 2.40-2.52
Se9 0.7659 0.9940 0.7829  2 Ga 2.40-2.52
Se10 0.8115 0.0204 0.4159  2 Ga 2.44-2.45
Ga1 0.9042 0.0927 0.5960  4 Se 2.39-2.45
Ga2 0.0958 0.9073 0.4040  4 Se 2.39-2.45
Ga3 0.2916 0.7201 0.2103  4 Se 2.37-2.52
Ga4 0.7084 0.2799 0.7897  4 Se 2.37-2.52

Values from the calculation:
Volume = 398.5 Å³/f.u.
D(E_F) = 0.000 states/eV/atom
Space group = No. 2
Calculated density = 4.442 g/cm3
Raw total energy = -27.065 eV per atom
Formation energy without anion corrections = -13.4 eV/f.u.